## Ba16Pt5Au3 (GGA-PBE)

Data for an optimized crystal structure of Ba16Pt5Au3.

## Properties
SG   Cm (8)
Size of the total moment   0.0 μB/cell
Final energy   -3.55 eV per atom
Energy of formation from the pure elements   -58 kJ/mol of atoms

```
24
Lattice="9.338 0.084 0.052 4.630 8.110 0.052 -0.005 -0.003 15.064" Properties=species:S:1:pos:R:3 pbc="T T T"
Ba 7.042 6.826 6.152
Ba 7.159 4.200 10.008
Ba 9.223 5.411 13.619
Ba 0.086 0.051 10.164
Ba 0.092 0.054 2.585
Ba 9.395 2.816 6.152
Ba 9.216 7.934 9.983
Ba 11.423 4.173 9.983
Ba 2.354 1.381 13.572
Ba 11.610 6.811 6.298
Ba 2.454 3.897 2.369
Ba 4.599 0.240 2.369
Ba 4.542 2.664 6.099
Ba 4.724 5.410 13.686
Ba 6.797 3.987 2.344
Ba 7.027 1.484 13.686
Pt 6.982 6.775 11.895
Pt 9.306 5.459 7.982
Pt 9.321 2.788 11.895
Pt 2.338 1.371 4.304
Pt 4.661 2.734 0.391
Au 11.627 6.821 11.931
Au 4.632 5.402 4.359
Au 6.976 1.407 4.359
```

---

## AcPa2 (GGA-PBE)

Data for an optimized crystal structure of AcPa2.

## Properties
SG   Fd-3m (227)
Size of the total moment   0.0 μB/cell
Final energy   -7.42 eV per atom
Energy of formation from the pure elements   27 kJ/mol of atoms

```
6
Lattice="6.318 0.000 0.000 3.159 5.471 0.000 3.159 1.824 5.158" Properties=species:S:1:pos:R:3 pbc="T T T"
Ac 0.000 0.000 0.000
Ac 3.159 1.824 1.290
Pa 4.738 4.559 3.224
Pa 6.318 1.824 3.224
Pa 7.897 4.559 3.224
Pa 6.318 3.648 0.645
```

---

## AgPdS (GGA-PBE)

Data for an optimized crystal structure of AgPdS.

## Properties
SG   P3m1 (156)
Size of the total moment   0.0 μB/cell
Final energy   -4.03 eV per atom
Energy relative to the lowest polymorph listed for this composition   102 meV per atom

```
3
Lattice="-1.162 0.666 -2.978 3.071 -1.052 0.356 -1.784 -5.382 -0.508" Properties=species:S:1:pos:R:3 pbc="T T T"
S 0.541 -3.853 -1.073
Pd -0.415 -1.908 -2.055
Ag -0.002 -0.007 -0.001
```

---

Q: The lowest final energy belongs to which entry?
A: AcPa2

---

Q: What is the size of the total moment in the second record?
A: 0.0 μB/cell